## KRbMoW2 (PBE)

Data for an optimized crystal structure of KRbMoW2.

Cell: 4.933 4.864 4.933 Å, 90.00 90.00 90.00°
Fractional coordinates of all 5 atoms:
K: 0.000 0.000 0.000
Mo: 0.000 0.500 0.000
Rb: 0.500 0.500 0.500
W: 0.000 0.000 0.500
W: 0.500 0.000 0.000

Output
The volume comes out at 23.67 Å³ per atom. As for the magnetic moment: 0.00 μB/cell. The value obtained for the density of states at the Fermi level is 1.739 states/eV per atom. The formation enthalpy at 0 K comes out at 3.911 eV/atom.